# Li2Cr3O6 (PBE+U, relaxed)
# relative energy among the computed polymorphs: 2.3 kJ/mol of atoms
# total energy: -6.97 eV/atom
data_Li2Cr3O6
_chemical_formula_sum 'Li8 Cr12 O24'
_symmetry_space_group_name_H-M 'C m c e'
_symmetry_Int_Tables_number 64
_symmetry_space_group_name_Hall '-C 2ac 2'
_cell_length_a 8.9577
_cell_length_b 5.1250
_cell_length_c 10.1263
_cell_angle_alpha 90.00
_cell_angle_beta 90.00
_cell_angle_gamma 90.00
loop_
_atom_site_label
_atom_site_type_symbol
_atom_site_fract_x
_atom_site_fract_y
_atom_site_fract_z
Li1 Li 0.2500 0.1065 0.2500
Cr1 Cr 0.0000 0.0000 0.0000
Cr2 Cr 0.1660 0.0000 0.5000
O1 O 0.0000 0.1799 0.5933
O2 O 0.1690 0.1605 0.8937